# 1
Nd5ErTe6 | PBE-GGA | optimized geometry

Cell lengths 7.7470, 13.4261, 7.7223 Å; angles 90.00, 109.45, 90.00 degrees
Space group C2/m (No. 12)
Inequivalent atoms, fractional coordinates:
Nd 0.0000 0.0000 0.0000
Nd 0.0000 0.1679 0.5000
Nd 0.0000 0.3240 0.0000
Er 0.0000 0.5000 0.5000
Te 0.2390 0.5000 0.2504
Te 0.2418 0.3392 0.7426

Values from the calculation:
ΔE_f (raw) = -1391.4 meV per atom
DOS(E_F) = 0.462 states/eV/atom

=====

# 2
Sm2CuP3Rh4 | PBE-GGA | optimized geometry

Cell lengths 4.1007, 4.1007, 9.8419 Å; angles 90.00, 90.00, 90.00 degrees
Space group P-4m2 (No. 115)
Inequivalent atoms, fractional coordinates:
Sm 0.0000 0.5000 0.2424
Cu 0.5000 0.5000 0.0000
P 0.0000 0.0000 0.0000
P 0.0000 0.5000 0.6363
Rh 0.0000 0.0000 0.5000
Rh 0.0000 0.5000 0.8684
Rh 0.5000 0.5000 0.5000

Values from the calculation:
formation energy = -979 meV per atom
DOS(E_F) = 0.443 states/eV/atom

=====

# 3
Pm6P2SI3 | PBE-GGA | optimized geometry

Cell lengths 7.2464, 12.5543, 7.9622 Å; angles 90.00, 107.66, 90.00 degrees
Space group C2/m (No. 12)
Inequivalent atoms, fractional coordinates:
Pm 0.2281 0.1665 0.1852
Pm 0.2291 0.5000 0.1857
P 0.0000 0.3336 0.0000
S 0.0000 0.0000 0.0000
I 0.0000 0.1680 0.5000
I 0.0000 0.5000 0.5000

Values from the calculation:
ΔE_f (raw) = -1402.9 meV per atom
DOS(E_F) = 0.486 states/eV/atom

=====

Number 1: size of the total moment 0.00 μB per cell. Number 2: size of the total moment 0.00 μB per cell. Number 3: size of the total moment 0.00 μB per cell.